[1]
Rb4Cu2BiAs after structural relaxation. Source: OQMD via LeMat-Bulk, functional GGA-PBE.

Energy ... -2.766 eV per atom

a b c (Å): 6.6134 6.7337 6.7337
angles (deg): 109.23 90.00 90.00
Sites, in units of the cell vectors:
Rb: 0.5000 0.3361 0.0155
Cu: 0.7907 0.4888 0.4888
Bi: 0.5000 0.7219 0.7219
Rb: 0.0000 0.0237 0.6773
Rb: 0.0000 0.6773 0.0237
Rb: 0.5000 0.0155 0.3361
Cu: 0.2093 0.4888 0.4888
As: 0.0000 0.2479 0.2479

---

[2]
MgScGaFe after structural relaxation. Source: OQMD via LeMat-Bulk, functional GGA-PBE.

Energy above the lowest structure with this stoichiometry ... 54 meV/atom
Energy ... -4.838 eV per atom

a b c (Å): 4.4678 4.4678 4.4678
angles (deg): 60.00 60.00 60.00
Site moments in Bohr magnetons follow the coordinates.
Sites, in units of the cell vectors:
Sc: 0.7500 0.7500 0.7500  -0.10
Ga: 0.2500 0.2500 0.2500  0.01
Mg: 0.0000 0.0000 0.0000  -0.01
Fe: 0.5000 0.5000 0.5000  1.69

---

[3]
NiBIr after structural relaxation. Source: OQMD via LeMat-Bulk, functional GGA-PBE.

Energy ... -6.203 eV per atom

a b c (Å): 3.7502 3.7502 3.7502
angles (deg): 60.00 60.00 60.00
Sites, in units of the cell vectors:
Ir: 0.7500 0.7500 0.7500
B: 0.2500 0.2500 0.2500
Ni: 0.0000 0.0000 0.0000

---

[4]
NdGd2Tl2Zn3Cd after structural relaxation. Source: OQMD via LeMat-Bulk, functional GGA-PBE.

Energy ... -2.919 eV per atom

a b c (Å): 4.5906 7.3687 7.3687
angles (deg): 120.58 90.00 90.00
Sites, in units of the cell vectors:
Cd: 0.0000 0.9939 0.9939
Gd: 0.0000 0.0020 0.5772
Gd: 0.0000 0.5772 0.0020
Zn: 0.5000 0.7689 0.7689
Nd: 0.0000 0.4250 0.4250
Zn: 0.5000 0.2295 0.0000
Tl: 0.5000 0.6709 0.3326
Tl: 0.5000 0.3326 0.6709
Zn: 0.5000 0.0000 0.2295

---

[5]
NdYZnCo2 after structural relaxation. Source: OQMD via LeMat-Bulk, functional GGA-PBE.

ΔE_f ... -5.1 kcal/mol of atoms
Energy ... -5.562 eV per atom

a b c (Å): 5.3939 5.3939 5.3939
angles (deg): 135.23 119.10 78.68
Sites, in units of the cell vectors:
Zn: 0.5024 0.0024 0.5000
Y: 0.7929 0.7929 0.0000
Nd: 0.2085 0.2085 0.0000
Co: 0.7886 0.4981 0.2905
Co: 0.2076 0.4981 0.7095

---

[6]
CsNbTeO after structural relaxation. Source: OQMD via LeMat-Bulk, functional GGA-PBE.

Energy above the lowest structure with this stoichiometry ... 0 meV/atom
Energy ... -5.835 eV per atom

a b c (Å): 4.6543 8.4032 7.1246
angles (deg): 90.00 90.00 90.00
Sites, in units of the cell vectors:
Cs: 0.0000 0.7065 0.6089
Cs: 0.0000 0.2935 0.1089
O: 0.5000 0.9364 0.7507
Nb: 0.5000 0.9179 0.0241
O: 0.5000 0.0636 0.2507
Nb: 0.5000 0.0821 0.5241
Te: 0.0000 0.2489 0.6073
Te: 0.0000 0.7511 0.1073

---

[7]
ErCo after structural relaxation. Source: OQMD via LeMat-Bulk, functional GGA-PBE.

ΔE_f ... 4.2 kcal/mol of atoms
Energy ... -5.653 eV per atom

a b c (Å): 3.8344 3.8344 3.8344
angles (deg): 60.00 60.00 60.00
Sites, in units of the cell vectors:
Er: 0.5000 0.5000 0.5000
Co: 0.0000 0.0000 0.0000

---

[8]
SmF after structural relaxation. Source: OQMD via LeMat-Bulk, functional GGA-PBE.

Energy above the lowest structure with this stoichiometry ... 208 meV/atom
Energy ... -5.339 eV per atom

a b c (Å): 3.2986 3.2986 3.7836
angles (deg): 90.00 90.00 120.00
Sites, in units of the cell vectors:
Sm: 0.3333 0.6667 0.2500
F: 0.6667 0.3333 0.7500

---

The highest energy belongs to which entry?
Rb4Cu2BiAs

---

Copy entry 4 word for word.
NdGd2Tl2Zn3Cd after structural relaxation. Source: OQMD via LeMat-Bulk, functional GGA-PBE.

Energy ... -2.919 eV per atom

a b c (Å): 4.5906 7.3687 7.3687
angles (deg): 120.58 90.00 90.00
Sites, in units of the cell vectors:
Cd: 0.0000 0.9939 0.9939
Gd: 0.0000 0.0020 0.5772
Gd: 0.0000 0.5772 0.0020
Zn: 0.5000 0.7689 0.7689
Nd: 0.0000 0.4250 0.4250
Zn: 0.5000 0.2295 0.0000
Tl: 0.5000 0.6709 0.3326
Tl: 0.5000 0.3326 0.6709
Zn: 0.5000 0.0000 0.2295

---

Which of these has the highest energy?
Rb4Cu2BiAs

---

Please write out number 1 again, unchanged.
Rb4Cu2BiAs after structural relaxation. Source: OQMD via LeMat-Bulk, functional GGA-PBE.

Energy ... -2.766 eV per atom

a b c (Å): 6.6134 6.7337 6.7337
angles (deg): 109.23 90.00 90.00
Sites, in units of the cell vectors:
Rb: 0.5000 0.3361 0.0155
Cu: 0.7907 0.4888 0.4888
Bi: 0.5000 0.7219 0.7219
Rb: 0.0000 0.0237 0.6773
Rb: 0.0000 0.6773 0.0237
Rb: 0.5000 0.0155 0.3361
Cu: 0.2093 0.4888 0.4888
As: 0.0000 0.2479 0.2479